Record 1
HfFeAs2P | PBE | relaxed

The calculation puts the density of states at the Fermi level at 3.0 states/eV/cell. The total DFT energy (no corrections) comes out at -6.23 eV/atom.

It has space group P4/mmm (No. 123), with a = 4.8096 Å, b = 4.8096 Å, c = 4.0477 Å, α = 90.00°, β = 90.00° and γ = 90.00°. The inequivalent atoms are Hf at (0.0000, 0.0000, 0.0000), Fe at (0.5000, 0.5000, 0.0000), As at (0.0000, 0.5000, 0.5000) and P at (0.5000, 0.5000, 0.5000).



Record 2
Tl3NiCl6 | PBE | relaxed

The calculation puts the density of states at the Fermi level at 4.8 states/eV/cell. The total DFT energy (no corrections) comes out at -3.20 eV/atom. The calculation puts the uncorrected formation energy at -801 meV per atom.

It has space group P2_1/c (No. 14), with a = 7.2136 Å, b = 7.4323 Å, c = 12.5817 Å, α = 90.00°, β = 124.48° and γ = 90.00°. The inequivalent atoms are Tl at (0.0000, 0.0000, 0.0000), Tl at (0.2628, 0.0526, 0.7504), Ni at (0.5000, 0.0000, 0.5000), Cl at (0.2209, 0.0110, 0.2764), Cl at (0.2675, 0.6854, 0.0277) and Cl at (0.3445, 0.2434, 0.0313).



Record 3
La6Sm2HoTm | PBE | relaxed

The calculation puts the density of states at the Fermi level at 48.2 states/eV/cell. The total DFT energy (no corrections) comes out at -4.69 eV/atom.

It has space group C2/c (No. 15), with a = 9.8794 Å, b = 15.2868 Å, c = 9.2738 Å, α = 90.00°, β = 91.29° and γ = 90.00°. The inequivalent atoms are La at (0.0745, 0.1500, 0.4108), La at (0.0746, 0.3585, 0.5976), La at (0.2451, 0.2182, 0.8192), Sm at (0.2494, 0.0445, 0.0632), Ho at (0.0000, 0.0631, 0.7500) and Tm at (0.0000, 0.4284, 0.2500).



Record 4
Al2SbIr | PBE | relaxed

The calculation puts the density of states at the Fermi level at 1.2 states/eV/cell. The total DFT energy (no corrections) comes out at -5.42 eV/atom. The calculation puts the uncorrected formation energy at -299 meV per atom.

It has space group P4/mmm (No. 123), with a = 2.9874 Å, b = 2.9874 Å, c = 8.0773 Å, α = 90.00°, β = 90.00° and γ = 90.00°. The inequivalent atoms are Al at (0.0000, 0.0000, 0.1920), Sb at (0.5000, 0.5000, 0.5000) and Ir at (0.5000, 0.5000, 0.0000).



Record 5
SmMgSi | PBE | relaxed

The calculation puts the density of states at the Fermi level at 5.6 states/eV/cell. The total DFT energy (no corrections) comes out at -4.30 eV/atom. The calculation puts the uncorrected formation energy at -392 meV per atom.

It has space group F-43m (No. 216), with a = 6.6769 Å, b = 6.6769 Å, c = 6.6769 Å, α = 90.00°, β = 90.00° and γ = 90.00°. The inequivalent atoms are Sm at (0.0000, 0.0000, 0.0000), Mg at (0.0000, 0.0000, 0.5000) and Si at (0.2500, 0.2500, 0.7500).



Record 6
Mg2TlBi | PBE | relaxed

The calculation puts the density of states at the Fermi level at 3.3 states/eV/cell. The total DFT energy (no corrections) comes out at -2.46 eV/atom.

It has space group P1 (No. 1), with a = 4.6285 Å, b = 4.6287 Å, c = 10.0843 Å, α = 89.96°, β = 89.96° and γ = 89.97°. The inequivalent atoms are Mg at (0.0000, 0.0000, 0.0000), Mg at (0.9997, 0.4996, 0.2511), Mg at (0.5000, 0.4999, 0.0001), Mg at (0.5006, 0.0020, 0.7491), Tl at (0.0020, 0.0073, 0.5007), Tl at (0.5020, 0.5075, 0.4995), Bi at (0.0004, 0.5011, 0.7949) and Bi at (0.5002, 0.9997, 0.2054).